(1)
19
Lattice="-4.211 -3.280 -5.487 8.098 1.508 -1.776 0.703 -8.789 4.714" Properties=species:S:1:pos:R:3 comment="Na2Hg5Cl12 | the Alexandria database | PBE | optimized geometry" raw_formation_energy_mev_per_atom=-794 pbc="T T T"
Hg 0.351 -4.395 2.357
Hg 1.284 -2.126 -5.055
Hg 3.305 -8.436 2.506
Hg -1.038 -4.919 -1.603
Hg 5.628 -5.643 -0.946
Cl 5.522 -1.564 -3.303
Cl 1.172 -7.195 3.401
Cl 0.877 -5.321 -0.058
Cl -1.311 -7.026 -2.909
Cl -0.933 -8.998 0.754
Cl 5.400 -6.871 2.641
Cl 3.712 -5.240 -2.491
Cl 3.288 -8.516 -0.112
Cl 3.418 -3.367 -5.950
Cl 1.302 -2.046 -2.437
Cl -0.811 -3.691 -5.190
Cl 5.900 -3.536 0.360
Na -3.199 -2.492 -4.169
Na -1.012 -0.788 -1.319

(2)
9
Lattice="5.344 0.000 0.000 2.672 7.081 -0.727 2.672 2.038 7.097" Properties=species:S:1:pos:R:3 comment="NaHg2Cl6 | the Alexandria database | PBE | optimized geometry" raw_formation_energy_mev_per_atom=-704 pbc="T T T"
Hg 5.344 2.053 0.417
Hg 5.344 7.066 5.954
Cl 8.017 6.781 5.939
Cl 2.672 2.875 5.435
Cl 8.017 6.244 0.935
Cl 2.672 2.337 0.432
Cl 5.344 6.041 3.792
Cl 5.344 3.078 2.578
Na 2.672 4.559 3.185

(3)
30
Lattice="7.050 0.053 0.472 3.575 6.334 0.144 1.192 -0.481 19.591" Properties=species:S:1:pos:R:3 comment="Na2Hg4Cl9 | the Alexandria database | PBE | optimized geometry" raw_formation_energy_mev_per_atom=-830 pbc="T T T"
Cl 10.153 3.650 18.548
Cl 6.329 1.637 11.998
Cl 6.337 1.894 5.254
Cl 6.892 5.679 11.754
Cl 3.258 3.626 11.330
Cl 6.981 5.728 18.349
Cl 5.488 4.269 8.208
Cl 4.925 0.227 8.452
Cl 8.558 2.280 8.876
Cl 2.247 1.445 14.522
Cl 9.569 4.461 5.684
Cl 9.467 5.969 15.298
Cl 5.479 4.012 14.952
Cl 2.349 -0.063 4.908
Cl 6.685 1.858 18.210
Cl 5.132 4.048 1.996
Cl 4.836 0.178 1.857
Cl 1.664 2.256 1.658
Hg 4.240 1.988 9.889
Hg 7.577 3.918 10.316
Hg 7.984 3.772 16.314
Hg 3.832 2.133 3.892
Hg 7.100 4.209 6.125
Hg 4.611 1.445 19.481
Hg 4.717 1.697 14.081
Hg 7.206 4.461 0.725
Na 0.250 0.002 2.794
Na 7.404 0.072 7.283
Na 4.412 5.834 12.923
Na 11.566 5.904 17.412

(4)
4
Lattice="4.809 -4.931 4.547 7.039 -4.289 0.410 7.277 -0.955 3.775" Properties=species:S:1:pos:R:3 comment="NaHgCl2 | the Alexandria database | PBE | optimized geometry" raw_formation_energy_mev_per_atom=-706 pbc="T T T"
Cl 2.055 -1.093 0.938
Cl 17.069 -9.083 7.794
Hg 9.562 -5.088 4.366
Na 0.000 0.000 0.000

(5)
4
Lattice="-4.697 -2.066 0.075 -3.239 1.129 3.817 -4.110 2.936 -0.906" Properties=species:S:1:pos:R:3 comment="NaHgCl2 | the Alexandria database | PBE | optimized geometry" raw_formation_energy_mev_per_atom=-829 pbc="T T T"
Cl -9.034 1.499 2.240
Cl -3.011 0.500 0.747
Hg -6.023 0.999 1.493
Na 0.000 0.000 0.000

(6)
7
Lattice="5.253 0.000 0.000 0.000 5.253 0.000 2.627 2.627 7.981" Properties=species:S:1:pos:R:3 comment="Na4Hg2Cl | the Alexandria database | PBE | optimized geometry" raw_formation_energy_mev_per_atom=-494 pbc="T T T"
Na 2.627 0.000 0.000
Na 5.253 5.253 2.905
Na 2.627 2.627 5.076
Na 0.000 2.627 0.000
Hg 5.253 5.253 5.977
Hg 2.627 2.627 2.004
Cl 0.000 0.000 0.000

(7)
18
Lattice="-0.078 6.834 -1.286 -3.935 -2.624 5.098 9.561 1.660 8.234" Properties=species:S:1:pos:R:3 comment="NaNdHgCl6 | the Alexandria database | PBE | optimized geometry" raw_formation_energy_mev_per_atom=-1577 pbc="T T T"
Hg 5.806 4.926 7.018
Hg -0.260 0.944 5.029
Cl -0.150 -0.678 2.843
Cl 5.967 3.430 4.747
Cl -0.420 2.440 7.299
Cl 2.142 2.064 4.400
Cl 5.697 6.548 9.203
Cl -1.392 2.936 3.556
Cl 6.939 2.934 8.490
Cl 4.569 6.939 5.663
Cl -2.716 -0.031 5.691
Cl 0.978 -1.070 6.383
Cl 8.262 5.900 6.355
Cl 3.405 3.805 7.646
Nd 1.026 4.096 2.900
Nd 4.521 1.773 9.146
Na 4.780 0.830 4.117
Na 0.000 0.000 0.000

(8)
10
Lattice="6.792 0.001 0.000 3.397 5.883 0.000 3.396 1.961 5.874" Properties=species:S:1:pos:R:3 comment="Na2NiHgCl6 | the Alexandria database | PBE | optimized geometry" raw_formation_energy_mev_per_atom=-1016 pbc="T T T"
Cl 4.862 4.101 4.567
Cl 7.602 2.162 4.567
Cl 5.559 6.241 1.479
Cl 7.911 5.505 4.566
Cl 9.418 3.832 1.479
Cl 5.402 1.694 1.480
Ni 3.397 1.961 0.175
Hg 10.189 5.883 3.224
Na 6.792 3.922 2.416
Na 3.396 1.961 5.503

(9)
9
Lattice="-5.406 0.372 4.565 -5.481 -4.446 -0.625 3.750 -5.302 4.879" Properties=species:S:1:pos:R:3 comment="NaNpHgCl6 | the Alexandria database | PBE | optimized geometry" raw_formation_energy_mev_per_atom=-1373 pbc="T T T"
Hg 3.749 -5.303 4.879
Cl -2.689 -4.900 5.937
Cl -4.058 -4.331 2.740
Cl -1.050 -6.355 3.088
Cl -0.872 -3.208 1.512
Cl 0.499 -3.637 4.858
Cl -2.353 -1.624 4.378
Na -5.382 -5.367 5.065
Np -1.754 -4.009 3.752

(10)
12
Lattice="6.533 0.000 0.000 0.000 7.085 0.000 0.000 -3.543 6.569" Properties=species:S:1:pos:R:3 comment="Na2HgCl2O | the Alexandria database | PBE | optimized geometry" raw_formation_energy_mev_per_atom=-1270 pbc="T T T"
Na 4.871 4.669 2.029
Na 4.871 1.126 4.541
Na 1.605 -1.126 4.541
Na 1.605 2.416 2.029
Hg 2.905 7.041 0.000
Hg 6.172 0.045 0.000
Cl 1.105 5.064 2.039
Cl 1.105 1.521 4.530
Cl 4.372 -1.521 4.530
Cl 4.372 2.022 2.039
O 4.566 5.836 0.000
O 1.299 1.249 0.000

(11)
5
Lattice="4.346 0.000 0.000 0.000 6.124 0.000 0.000 0.000 4.346" Properties=species:S:1:pos:R:3 comment="NaHgOs2Cl | the Alexandria database | PBE | optimized geometry" raw_formation_energy_mev_per_atom=1434 pbc="T T T"
Hg 0.000 3.062 0.000
Os 0.000 0.000 2.173
Os 2.173 0.000 0.000
Cl 0.000 0.000 0.000
Na 2.173 3.062 2.173

(12)
5
Lattice="-3.347 3.178 1.820 -0.511 -2.848 4.031 4.516 3.153 2.800" Properties=species:S:1:pos:R:3 comment="NaHgP2Cl | the Alexandria database | PBE | optimized geometry" raw_formation_energy_mev_per_atom=403 pbc="T T T"
P -0.256 -1.424 2.015
P -1.674 1.589 0.910
Hg 0.000 0.000 0.000
Cl 2.258 1.576 1.400
Na 0.329 1.742 4.326

(13)
5
Lattice="-1.232 2.221 -4.529 1.714 -4.201 -2.526 -4.521 -1.996 0.251" Properties=species:S:1:pos:R:3 comment="NaHgP2Cl | the Alexandria database | PBE | optimized geometry" raw_formation_energy_mev_per_atom=848 pbc="T T T"
Na 0.000 0.000 0.000
P 0.857 -2.100 -1.263
P -0.616 1.110 -2.265
Hg -2.020 -1.988 -3.402
Cl -2.261 -0.998 0.126

(14)
10
Lattice="7.112 -0.001 0.001 3.555 6.158 0.000 3.556 2.053 6.389" Properties=species:S:1:pos:R:3 comment="Na2HgPbCl6 | the Alexandria database | PBE | optimized geometry" raw_formation_energy_mev_per_atom=-1228 pbc="T T T"
Cl 5.009 4.085 4.851
Cl 8.145 5.936 4.851
Cl 8.182 2.295 4.851
Cl 9.634 4.175 1.567
Cl 5.790 6.254 1.565
Cl 5.912 1.886 1.566
Na 3.555 2.052 6.082
Na 7.111 4.105 2.855
Hg 3.557 2.053 0.319
Pb 10.669 6.158 3.544

(15)
12
Lattice="6.638 0.104 -0.005 0.177 6.428 -0.008 0.006 0.010 8.591" Properties=species:S:1:pos:R:3 comment="NaHgPb2Cl8 | the Alexandria database | PBE | optimized geometry" raw_formation_energy_mev_per_atom=-975 pbc="T T T"
Cl 5.567 1.450 6.594
Cl 1.256 5.097 6.593
Cl 5.564 1.445 1.986
Cl 2.236 1.830 8.587
Cl 4.615 4.685 4.287
Cl 4.584 4.712 -0.008
Cl 1.253 5.092 1.984
Cl 2.206 1.857 4.292
Pb 3.412 3.274 6.434
Pb 3.409 3.268 2.145
Na 0.003 0.005 4.295
Hg 0.000 0.000 0.000

(16)
12
Lattice="7.862 0.363 0.000 -3.162 7.208 0.000 -2.350 -3.785 6.488" Properties=species:S:1:pos:R:3 comment="NaHg2PbCl8 | the Alexandria database | PBE | optimized geometry" raw_formation_energy_mev_per_atom=-772 pbc="T T T"
Hg 3.931 0.182 3.244
Hg 2.350 3.785 0.000
Cl 0.343 2.844 1.209
Cl 1.926 -0.702 2.007
Cl 5.936 1.066 2.007
Cl 4.358 4.727 1.209
Cl 4.028 -2.007 4.481
Cl -0.047 2.217 5.279
Cl 0.047 -2.217 5.279
Cl 3.834 2.370 4.481
Pb 0.000 0.000 0.000
Na -1.581 3.604 3.244

(17)
12
Lattice="-6.339 1.481 -1.183 -0.588 -5.645 -3.057 -2.707 -4.792 5.821" Properties=species:S:1:pos:R:3 comment="NaHg2PdCl8 | the Alexandria database | PBE | optimized geometry" raw_formation_energy_mev_per_atom=-689 pbc="T T T"
Cl -5.839 -5.760 0.059
Cl -3.795 -3.197 1.522
Cl -2.289 -0.817 -1.099
Cl -3.636 -8.220 2.050
Cl -5.997 -0.736 -0.469
Cl -7.345 -8.139 2.680
Cl -7.808 -3.677 2.655
Cl -1.825 -5.279 -1.073
Hg -5.499 -5.486 2.399
Hg -4.135 -3.470 -0.818
Na -1.353 -2.396 2.910
Pd 0.000 0.000 0.000

(18)
5
Lattice="-4.674 -0.409 1.766 -1.229 -2.877 -3.918 1.252 -3.837 2.424" Properties=species:S:1:pos:R:3 comment="NaHgPd2Cl | the Alexandria database | PBE | optimized geometry" raw_formation_energy_mev_per_atom=436 pbc="T T T"
Pd -2.337 -0.205 0.883
Pd -0.614 -1.438 -1.959
Cl 0.626 -1.918 1.212
Na 0.000 0.000 0.000
Hg -2.326 -3.561 0.136

(19)
10
Lattice="-5.852 4.328 -0.701 -0.140 -5.291 4.097 6.700 2.062 3.645" Properties=species:S:1:pos:R:3 comment="NaHgPd2Cl6 | the Alexandria database | PBE | optimized geometry" raw_formation_energy_mev_per_atom=-652 pbc="T T T"
Hg 0.799 1.112 1.144
Cl -0.413 1.689 4.221
Cl -3.901 -0.150 2.391
Cl 0.134 -1.119 2.389
Cl 1.778 -1.725 6.030
Cl -1.442 2.449 0.457
Cl 4.106 0.793 3.109
Pd -0.936 -0.581 4.410
Pd 1.928 1.720 3.574
Na -2.909 2.481 2.821

(20)
18
Lattice="7.002 0.000 0.000 -3.501 6.064 0.000 0.000 0.000 12.472" Properties=species:S:1:pos:R:3 comment="NaPuHgCl6 | the Alexandria database | PBE | optimized geometry" raw_formation_energy_mev_per_atom=-1415 pbc="T T T"
Cl 1.221 2.113 10.853
Cl 2.280 3.951 1.619
Cl 2.441 0.001 7.855
Cl -1.060 6.063 1.619
Cl 4.720 3.950 10.853
Cl 1.220 2.114 4.617
Cl 1.060 6.063 4.617
Cl 2.281 3.950 7.855
Cl -2.280 3.951 4.617
Cl 5.781 2.113 7.855
Cl 4.561 0.001 10.853
Cl -1.220 2.114 1.619
Na 0.000 0.000 6.236
Na 0.000 0.000 0.000
Pu 0.000 4.043 9.354
Pu 3.501 2.021 3.118
Hg 3.501 2.021 9.354
Hg 0.000 4.043 3.118

(21)
10
Lattice="7.208 -0.074 0.024 -3.668 6.358 0.053 -3.555 -1.989 7.355" Properties=species:S:1:pos:R:3 comment="RbNaHg2Cl6 | the Alexandria database | PBE | optimized geometry" raw_formation_energy_mev_per_atom=-1100 pbc="T T T"
Rb 3.427 2.143 3.541
Cl -2.045 4.529 5.226
Cl 1.359 2.004 6.142
Cl 2.252 4.520 1.641
Cl 2.626 0.165 1.023
Cl -0.854 1.943 1.818
Cl -2.403 0.207 5.747
Na -0.034 4.265 7.251
Hg -0.253 4.206 1.227
Hg -0.017 -0.142 5.817